The following is a GGA-PBE calculation of an optimized crystal structure of Cd10Ag3Au3, from the Alexandria database.

```
Cd10Ag3Au3
1.0
5.698 0.000 0.000
0.000 7.112 -4.106
0.000 0.000 8.213
Cd Ag Au
10 3 3
Direct
0.250 0.667 0.333
0.250 0.333 0.667
0.750 0.333 0.667
0.750 0.667 0.333
0.500 0.000 0.763
0.500 0.763 0.000
0.500 0.237 0.237
0.000 0.000 0.225
0.000 0.225 0.000
0.000 0.775 0.775
0.000 0.000 0.598
0.000 0.598 0.000
0.000 0.402 0.402
0.500 0.000 0.395
0.500 0.395 0.000
0.500 0.605 0.605
```

Computed properties:
The total energy is -1.801 eV per atom. The space group is P-62m. The theoretical density comes out at 10171 kg/m³.